VASP calculation (GGA-PBE) on a relaxed structure of Zr2ZnPd2.

Values from the calculation:
Crystal system = monoclinic
Symmetry = C2/m, No. 12
Energy = -6.208 eV per atom
DFT formation energy = -0.457 eV per atom

Cell lengths 5.0268, 5.0268, 6.4003 Å; angles 112.36, 112.36, 39.86 degrees
With the nearest neighbours (Å) after each atom.
Element x y z (fractional)
Zr (0.1520, 0.1520, 0.2832)  4 Pd 2.71-2.90, 3 Zn 2.92-3.01
Zr (0.8480, 0.8480, 0.7168)  4 Pd 2.71-2.90, 3 Zn 2.92-3.01
Zn (0.5000, 0.5000, 0.5000)  4 Pd 2.67, 4 Zr 2.92
Pd (0.1579, 0.1579, 0.8340)  2 Zn 2.67, 4 Zr 2.71-2.90, 2 Pd 2.74
Pd (0.8421, 0.8421, 0.1660)  2 Zn 2.67, 4 Zr 2.71-2.90, 2 Pd 2.74



VASP calculation (GGA-PBE) on a relaxed structure of Zr2ZnPd.

Values from the calculation:
Crystal system = tetragonal
Symmetry = I-42d, No. 122
Energy = -5.946 eV per atom
DFT formation energy = -0.055 eV per atom

Cell lengths 6.0444, 6.0444, 6.0444 Å; angles 102.08, 102.08, 125.55 degrees
With the nearest neighbours (Å) after each atom.
Element x y z (fractional)
Zr (0.1084, 0.6250, 0.9834)  2 Pd 2.69, 2 Zr 2.78, 2 Zn 2.86
Zr (0.3750, 0.3584, 0.4834)  2 Pd 2.69, 2 Zr 2.78, 2 Zn 2.86
Zr (0.6416, 0.1250, 0.0166)  2 Pd 2.69, 2 Zr 2.78, 2 Zn 2.86
Zr (0.8750, 0.8916, 0.5166)  2 Pd 2.69, 2 Zr 2.78, 2 Zn 2.86
Zn (0.2500, 0.7500, 0.5000)  2 Pd 2.77, 4 Zr 2.86
Zn (0.5000, 0.5000, 0.0000)  2 Pd 2.77, 4 Zr 2.86
Pd (0.0000, 0.0000, 0.0000)  4 Zr 2.69, 2 Zn 2.77
Pd (0.7500, 0.2500, 0.5000)  4 Zr 2.69, 2 Zn 2.77



VASP calculation (GGA-PBE) on a relaxed structure of Zr2Zn6Pd.

Values from the calculation:
Crystal system = trigonal
Symmetry = P-3m1, No. 164
Energy = -3.611 eV per atom
DFT formation energy = -0.286 eV per atom

Cell lengths 5.5686, 5.5686, 5.5401 Å; angles 90.00, 90.00, 120.00 degrees
With the nearest neighbours (Å) after each atom.
Element x y z (fractional)
Zr (0.3333, 0.6667, 0.1457)  12 Zn 2.97-3.27, 3 Pd 3.31
Zr (0.6667, 0.3333, 0.8543)  12 Zn 2.97-3.27, 3 Pd 3.31
Zn (0.1801, 0.3602, 0.6717)  1 Pd 2.52, 4 Zn 2.56-2.58
Zn (0.1801, 0.8199, 0.6717)  1 Pd 2.52, 4 Zn 2.56-2.58
Zn (0.3602, 0.1801, 0.3283)  1 Pd 2.52, 4 Zn 2.56-2.58
Zn (0.6398, 0.8199, 0.6717)  1 Pd 2.52, 4 Zn 2.56-2.58
Zn (0.8199, 0.1801, 0.3283)  1 Pd 2.52, 4 Zn 2.56-2.58
Zn (0.8199, 0.6398, 0.3283)  1 Pd 2.52, 4 Zn 2.56-2.58
Pd (0.0000, 0.0000, 0.0000)  6 Zn 2.52